(1)
VASP calculation (PBE-GGA) on crystalline UB2Ru3 at its relaxed geometry.

It has space group P2_1/m (No. 11), with a = 5.290 Å, b = 5.107 Å, c = 6.478 Å, α = 90.00°, β = 111.14° and γ = 90.00°. The distinct sites, in fractional coordinates, are U at (0.101, 0.250, 0.194), B at (0.353, 0.570, 0.700), Ru at (0.029, 0.250, 0.560), Ru at (0.399, 0.250, 0.977) and Ru at (0.443, 0.750, 0.401).

The formation energy from the elements is -1.414 eV/f.u.

=====

(2)
VASP calculation (PBE-GGA) on crystalline RbBeC3 at its relaxed geometry.

It has space group Pm-3m (No. 221), with a = 3.983 Å, b = 3.983 Å, c = 3.983 Å, α = 90.00°, β = 90.00° and γ = 90.00°. The distinct sites, in fractional coordinates, are Rb at (0.000, 0.000, 0.000), Be at (0.500, 0.500, 0.500) and C at (0.000, 0.500, 0.500).

As for the relative energy among the computed polymorphs: 0.000 eV/atom. The formation energy from the elements is 13.295 eV/f.u.

=====

(3)
VASP calculation (PBE-GGA) on crystalline La3Pm2Pr6 at its relaxed geometry.

It has space group I4/mmm (No. 139), with a = 4.926 Å, b = 4.926 Å, c = 34.299 Å, α = 90.00°, β = 90.00° and γ = 90.00°. The distinct sites, in fractional coordinates, are La at (0.000, 0.000, 0.000), La at (0.000, 0.000, 0.205), Pm at (0.000, 0.000, 0.455), Pr at (0.000, 0.000, 0.306) and Pr at (0.000, 0.500, 0.118).

As for the relative energy among the computed polymorphs: 0.230 eV/atom. The formation energy from the elements is 2.679 eV/f.u.

=====

(4)
VASP calculation (PBE-GGA) on crystalline CaNd2AgHg4 at its relaxed geometry.

It has space group R-3m (No. 166, hexagonal axes), with a = 5.2422 Å, b = 5.2422 Å, c = 25.8721 Å, α = 90.00°, β = 90.00° and γ = 120.00°. The distinct sites, in fractional coordinates, are Ca at (0.0000, 0.0000, 0.0000), Nd at (0.0000, 0.0000, 0.2448), Ag at (0.0000, 0.0000, 0.5000), Hg at (0.0000, 0.0000, 0.1240) and Hg at (0.0000, 0.0000, 0.3740).

The formation energy from the elements is -3.416 eV/f.u.

=====

(5)
VASP calculation (PBE-GGA) on crystalline Pr2ScBePt6 at its relaxed geometry.

It has space group R-3m (No. 166, hexagonal axes), with a = 5.8743 Å, b = 5.8743 Å, c = 19.9899 Å, α = 90.00°, β = 90.00° and γ = 120.00°. The distinct sites, in fractional coordinates, are Pr at (0.0000, 0.0000, 0.2244), Sc at (0.0000, 0.0000, 0.5000), Be at (0.0000, 0.0000, 0.0000) and Pt at (0.0137, 0.5069, 0.2693).

The formation energy from the elements is -8.446 eV/f.u.

=====

(6)
VASP calculation (PBE-GGA) on crystalline RbLiFe3 at its relaxed geometry.

It has space group Pm-3m (No. 221), with a = 4.806 Å, b = 4.806 Å, c = 4.806 Å, α = 90.00°, β = 90.00° and γ = 90.00°. The distinct sites, in fractional coordinates, are Rb at (0.000, 0.000, 0.000), Li at (0.500, 0.500, 0.500) and Fe at (0.000, 0.000, 0.500).

As for the relative energy among the computed polymorphs: 0.993 eV/atom. The formation energy from the elements is 12.293 eV/f.u.

=====

(7)
VASP calculation (PBE-GGA) on crystalline La2PmSmY2 at its relaxed geometry.

It has space group Pnnm (No. 58), with a = 6.662 Å, b = 18.530 Å, c = 3.442 Å, α = 90.00°, β = 90.00° and γ = 90.00°. The distinct sites, in fractional coordinates, are La at (0.220, 0.187, 0.000), Pm at (0.000, 0.000, 0.000), Sm at (0.000, 0.500, 0.000) and Y at (0.217, 0.355, 0.500).

The formation energy from the elements is 1.545 eV/f.u.

=====

(8)
VASP calculation (PBE-GGA) on crystalline SrZr2Au at its relaxed geometry.

It has space group I-4m2 (No. 119), with a = 4.608 Å, b = 4.608 Å, c = 9.206 Å, α = 90.00°, β = 90.00° and γ = 90.00°. The distinct sites, in fractional coordinates, are Sr at (0.000, 0.000, 0.000), Zr at (0.000, 0.000, 0.500), Zr at (0.000, 0.500, 0.750) and Au at (0.000, 0.500, 0.250).

As for the relative energy among the computed polymorphs: 0.436 eV/atom. The formation energy from the elements is 0.981 eV/f.u.

=====

(9)
VASP calculation (PBE-GGA) on crystalline NpNb2V at its relaxed geometry.

It has space group Fm-3m (No. 225), with a = 6.569 Å, b = 6.569 Å, c = 6.569 Å, α = 90.00°, β = 90.00° and γ = 90.00°. The distinct sites, in fractional coordinates, are Np at (0.000, 0.000, 0.000), Nb at (0.250, 0.250, 0.250) and V at (0.000, 0.000, 0.500).

As for the relative energy among the computed polymorphs: 0.000 eV/atom. The formation energy from the elements is 1.050 eV/f.u.

=====

(10)
VASP calculation (PBE-GGA) on crystalline TbPu2V at its relaxed geometry.

It has space group R-3m (No. 166, hexagonal axes), with a = 3.1917 Å, b = 3.1917 Å, c = 32.8684 Å, α = 90.00°, β = 90.00° and γ = 120.00°. The distinct sites, in fractional coordinates, are Tb at (0.0000, 0.0000, 0.0000), Pu at (0.0000, 0.0000, 0.0975) and V at (0.0000, 0.0000, 0.5000).

The formation energy from the elements is 2.085 eV/f.u.

=====

(11)
VASP calculation (PBE-GGA) on crystalline SiSbAs at its relaxed geometry.

It has space group Cc (No. 9), with a = 20.256 Å, b = 4.056 Å, c = 14.490 Å, α = 90.00°, β = 132.09° and γ = 90.00°. The distinct sites, in fractional coordinates, are Si at (0.000, 0.007, 0.000), Si at (0.172, 0.160, 0.427), Si at (0.325, 0.010, 0.370), Sb at (0.015, 0.434, 0.305), Sb at (0.145, 0.211, 0.050), Sb at (0.315, 0.472, 0.054), As at (0.192, 0.196, 0.814), As at (0.349, 0.499, 0.796) and As at (0.476, 0.013, 0.074).

As for the relative energy among the computed polymorphs: 0.032 eV/atom.

=====

(12)
VASP calculation (PBE-GGA) on crystalline PrNd5Er4 at its relaxed geometry.

It has space group P-1 (No. 2), with a = 3.618 Å, b = 9.523 Å, c = 10.232 Å, α = 73.81°, β = 89.99° and γ = 79.34°. The distinct sites, in fractional coordinates, are Pr at (0.000, 0.000, 0.000), Nd at (0.000, 0.000, 0.500), Nd at (0.200, 0.599, 0.601), Nd at (0.398, 0.203, 0.197), Er at (0.200, 0.600, 0.100) and Er at (0.399, 0.203, 0.702).

As for the relative energy among the computed polymorphs: 0.000 eV/atom. The formation energy from the elements is 0.165 eV/f.u.

=====

It is found that the total DFT energy (no corrections) values, taken in the order of the records, are -0.6601 -0.2803 -0.3360 -0.1747 -0.4727 -0.2349 -0.3762 -0.3872 -0.7561 -0.7410 -0.3317 -0.3433 Ry per atom.